Entry 1:
Computed, not measured: a relaxed structure of KBaEuPb at the PBE-GGA level of DFT.

```
16
Lattice="8.6777 0.0000 0.0000 0.0000 8.6777 0.0000 0.0000 0.0000 8.6777" Properties=species:S:1:pos:R:3 pbc="T T T"
K 0.0000 0.0000 0.0000
K 0.0000 4.3388 4.3388
K 4.3388 0.0000 4.3388
K 4.3388 4.3388 0.0000
Ba 2.1694 2.1694 2.1694
Ba 2.1694 6.5082 6.5082
Ba 6.5082 2.1694 6.5082
Ba 6.5082 6.5082 2.1694
Eu 2.1694 2.1694 6.5082
Eu 2.1694 6.5082 2.1694
Eu 6.5082 2.1694 2.1694
Eu 6.5082 6.5082 6.5082
Pb 0.0000 0.0000 4.3388
Pb 0.0000 4.3388 0.0000
Pb 4.3388 0.0000 0.0000
Pb 4.3388 4.3388 4.3388
```

Summary:
SG: No. 216
calculated formation energy: -18.0 kJ/mol of atoms



Entry 2:
Computed, not measured: a relaxed structure of BaLaEu4 at the PBE-GGA level of DFT.

```
6
Lattice="0.0000 5.1553 5.1553 5.1553 0.0000 5.1553 5.1553 5.1553 0.0000" Properties=species:S:1:pos:R:3 pbc="T T T"
Ba 0.0000 0.0000 0.0000
La 7.7330 7.7330 7.7330
Eu 3.8881 3.8881 3.8881
Eu 6.4226 6.4226 3.8881
Eu 6.4226 3.8881 6.4226
Eu 3.8881 6.4226 6.4226
```

Summary:
SG: No. 216
calculated formation energy: 16.7 kJ/mol of atoms



Entry 3:
Computed, not measured: a relaxed structure of BaLaEu at the PBE-GGA level of DFT.

```
3
Lattice="3.9765 0.0000 0.0000 -1.9882 3.4437 0.0000 0.0000 0.0000 9.8806" Properties=species:S:1:pos:R:3 pbc="T T T"
Ba 0.0000 0.0000 0.0000
La 1.9882 1.1479 3.3778
Eu 0.0000 2.2958 6.3751
```

Summary:
SG: No. 156
energy above the most stable polymorph in this dataset: 3.7 meV per atom
calculated formation energy: 10.4 kJ/mol of atoms



Entry 4:
Computed, not measured: a relaxed structure of BaLaEu at the PBE-GGA level of DFT.

```
6
Lattice="3.9686 0.0000 0.0000 0.0000 3.9686 0.0000 0.0000 0.0000 17.3934" Properties=species:S:1:pos:R:3 pbc="T T T"
Ba 0.0000 0.0000 0.0000
Ba 1.9843 1.9843 8.6967
La 0.0000 0.0000 11.6863
La 1.9843 1.9843 2.9896
Eu 0.0000 0.0000 5.5218
Eu 1.9843 1.9843 14.2185
```

Summary:
SG: No. 107
energy above the most stable polymorph in this dataset: 0.0 meV per atom
calculated formation energy: 10.0 kJ/mol of atoms



Entry 5:
Computed, not measured: a relaxed structure of BaLaEuSbO6 at the PBE-GGA level of DFT.

```
10
Lattice="0.0000 4.3409 4.3409 4.3409 0.0000 4.3409 4.3409 4.3409 0.0000" Properties=species:S:1:pos:R:3 pbc="T T T"
Ba 0.0000 0.0000 0.0000
La 2.1705 2.1705 2.1705
Eu 4.3409 4.3409 4.3409
Sb 6.5114 6.5114 6.5114
O 6.5114 6.5114 4.5046
O 6.5114 4.5046 6.5114
O 8.5181 6.5114 6.5114
O 4.5046 6.5114 6.5114
O 6.5114 8.5181 6.5114
O 6.5114 6.5114 8.5181
```

Summary:
SG: No. 216
energy above the most stable polymorph in this dataset: 53.6 meV per atom
E_form (uncorrected): -2.531 eV per atom



Entry 6:
Computed, not measured: a relaxed structure of BaLaEuSbO6 at the PBE-GGA level of DFT.

```
20
Lattice="6.0661 0.0000 0.0000 -0.0004 6.1166 0.0000 -0.0943 -0.0451 8.6219" Properties=species:S:1:pos:R:3 pbc="T T T"
Ba 0.0132 0.1488 2.1553
Ba 5.9582 5.9227 6.4666
La -0.0473 3.0358 4.3110
La 3.0331 0.0000 0.0000
Eu 2.9415 3.2648 2.1765
Eu 3.0300 2.8067 6.4454
Sb -0.0002 3.0583 0.0000
Sb 2.9859 -0.0226 4.3110
O 0.5141 3.0307 6.6638
O 1.2145 4.6361 0.3555
O 1.3705 4.9024 4.0705
O 1.5700 1.8487 0.4704
O 1.8778 1.6460 3.8778
O 2.5822 0.2547 6.2795
O 3.3892 5.8168 2.3424
O 4.0936 4.4255 4.7441
O 4.4014 4.2228 8.1515
O 4.6010 1.1691 4.5514
O 4.7570 1.4354 8.2665
O 5.4574 3.0408 1.9582
```

Summary:
SG: No. 2
energy above the most stable polymorph in this dataset: 0.0 meV per atom
E_form (uncorrected): -2.585 eV per atom



Entry 7:
Computed, not measured: a relaxed structure of BaLaEuZnO5 at the PBE-GGA level of DFT.

```
18
Lattice="0.0000 4.8715 5.8508 4.8273 0.0000 5.8508 4.8273 4.8715 0.0000" Properties=species:S:1:pos:R:3 pbc="T T T"
Ba 2.4136 2.4358 2.9254
Ba 7.2409 7.3073 8.7762
La 4.8273 1.7103 5.8508
La 4.8273 8.0328 5.8508
Eu 6.5173 4.8715 5.8508
Eu 3.1373 4.8715 5.8508
Zn 4.8273 4.8715 2.9258
Zn 4.8273 4.8715 8.7758
O 2.4136 2.4358 0.0000
O 8.2372 4.8715 4.3134
O 4.8273 3.4610 4.2982
O 8.2372 4.8715 7.3881
O 4.8273 3.4610 7.4033
O 2.4136 2.4358 5.8508
O 4.8273 6.2820 4.2982
O 1.4174 4.8715 4.3134
O 4.8273 6.2820 7.4033
O 1.4174 4.8715 7.3881
```

Summary:
SG: No. 69
E_form (uncorrected): -2.584 eV per atom



Entry 8:
Computed, not measured: a relaxed structure of BaLaPrEu at the PBE-GGA level of DFT.

```
16
Lattice="8.8305 0.0000 0.0000 0.0000 8.8305 0.0000 0.0000 0.0000 8.8305" Properties=species:S:1:pos:R:3 pbc="T T T"
Ba 0.0000 0.0000 0.0000
Ba 0.0000 4.4152 4.4152
Ba 4.4152 0.0000 4.4152
Ba 4.4152 4.4152 0.0000
La 0.0000 0.0000 4.4152
La 0.0000 4.4152 0.0000
La 4.4152 0.0000 0.0000
La 4.4152 4.4152 4.4152
Pr 2.2076 2.2076 6.6229
Pr 2.2076 6.6229 2.2076
Pr 6.6229 2.2076 2.2076
Pr 6.6229 6.6229 6.6229
Eu 2.2076 2.2076 2.2076
Eu 2.2076 6.6229 6.6229
Eu 6.6229 2.2076 6.6229
Eu 6.6229 6.6229 2.2076
```

Summary:
SG: No. 216
calculated formation energy: 18.2 kJ/mol of atoms



Entry 9:
Computed, not measured: a relaxed structure of BaSrLaEu at the PBE-GGA level of DFT.

```
16
Lattice="9.1511 0.0000 0.0000 0.0000 9.1511 0.0000 0.0000 0.0000 9.1511" Properties=species:S:1:pos:R:3 pbc="T T T"
Ba 0.0000 0.0000 0.0000
Ba 0.0000 4.5756 4.5756
Ba 4.5756 0.0000 4.5756
Ba 4.5756 4.5756 0.0000
Sr 2.2878 2.2878 6.8633
Sr 2.2878 6.8633 2.2878
Sr 6.8633 2.2878 2.2878
Sr 6.8633 6.8633 6.8633
La 0.0000 0.0000 4.5756
La 0.0000 4.5756 0.0000
La 4.5756 0.0000 0.0000
La 4.5756 4.5756 4.5756
Eu 2.2878 2.2878 2.2878
Eu 2.2878 6.8633 6.8633
Eu 6.8633 2.2878 6.8633
Eu 6.8633 6.8633 2.2878
```

Summary:
SG: No. 216
calculated formation energy: 14.1 kJ/mol of atoms



Entry 10:
Computed, not measured: a relaxed structure of BaLiEu4 at the PBE-GGA level of DFT.

```
6
Lattice="0.0000 5.2310 5.2310 5.2310 0.0000 5.2310 5.2310 5.2310 0.0000" Properties=species:S:1:pos:R:3 pbc="T T T"
Ba 0.0000 0.0000 0.0000
Li 7.8465 7.8465 7.8465
Eu 3.9296 3.9296 3.9296
Eu 6.5324 6.5324 3.9296
Eu 6.5324 3.9296 6.5324
Eu 3.9296 6.5324 6.5324
```

Summary:
SG: No. 216
calculated formation energy: 20.2 kJ/mol of atoms



Entry 11:
Computed, not measured: a relaxed structure of BaLiEuMg at the PBE-GGA level of DFT.

```
16
Lattice="8.4484 0.0000 0.0000 0.0000 8.4484 0.0000 0.0000 0.0000 8.4484" Properties=species:S:1:pos:R:3 pbc="T T T"
Ba 0.0000 0.0000 0.0000
Ba 0.0000 4.2242 4.2242
Ba 4.2242 0.0000 4.2242
Ba 4.2242 4.2242 0.0000
Li 2.1121 2.1121 6.3363
Li 2.1121 6.3363 2.1121
Li 6.3363 2.1121 2.1121
Li 6.3363 6.3363 6.3363
Eu 0.0000 0.0000 4.2242
Eu 0.0000 4.2242 0.0000
Eu 4.2242 0.0000 0.0000
Eu 4.2242 4.2242 4.2242
Mg 2.1121 2.1121 2.1121
Mg 2.1121 6.3363 6.3363
Mg 6.3363 2.1121 6.3363
Mg 6.3363 6.3363 2.1121
```

Summary:
SG: No. 216
calculated formation energy: 0.7 kJ/mol of atoms



Entry 12:
Computed, not measured: a relaxed structure of BaNaLiEu at the PBE-GGA level of DFT.

```
16
Lattice="8.7864 0.0000 0.0000 0.0000 8.7864 0.0000 0.0000 0.0000 8.7864" Properties=species:S:1:pos:R:3 pbc="T T T"
Ba 0.0000 0.0000 0.0000
Ba 0.0000 4.3932 4.3932
Ba 4.3932 0.0000 4.3932
Ba 4.3932 4.3932 0.0000
Na 2.1966 2.1966 2.1966
Na 2.1966 6.5898 6.5898
Na 6.5898 2.1966 6.5898
Na 6.5898 6.5898 2.1966
Li 2.1966 2.1966 6.5898
Li 2.1966 6.5898 2.1966
Li 6.5898 2.1966 2.1966
Li 6.5898 6.5898 6.5898
Eu 0.0000 0.0000 4.3932
Eu 0.0000 4.3932 0.0000
Eu 4.3932 0.0000 0.0000
Eu 4.3932 4.3932 4.3932
```

Summary:
SG: No. 216
calculated formation energy: 7.2 kJ/mol of atoms



Entry 13:
Computed, not measured: a relaxed structure of BaLiEuPb at the PBE-GGA level of DFT.

```
16
Lattice="8.2966 0.0000 0.0000 0.0000 8.2966 0.0000 0.0000 0.0000 8.2966" Properties=species:S:1:pos:R:3 pbc="T T T"
Ba 0.0000 0.0000 0.0000
Ba 0.0000 4.1483 4.1483
Ba 4.1483 0.0000 4.1483
Ba 4.1483 4.1483 0.0000
Li 2.0741 2.0741 2.0741
Li 2.0741 6.2224 6.2224
Li 6.2224 2.0741 6.2224
Li 6.2224 6.2224 2.0741
Eu 0.0000 0.0000 4.1483
Eu 0.0000 4.1483 0.0000
Eu 4.1483 0.0000 0.0000
Eu 4.1483 4.1483 4.1483
Pb 2.0741 2.0741 6.2224
Pb 2.0741 6.2224 2.0741
Pb 6.2224 2.0741 2.0741
Pb 6.2224 6.2224 6.2224
```

Summary:
SG: No. 216
calculated formation energy: -31.6 kJ/mol of atoms



Entry 14:
Computed, not measured: a relaxed structure of BaLiEuPt at the PBE-GGA level of DFT.

```
16
Lattice="7.6514 0.0000 0.0000 0.0000 7.6514 0.0000 0.0000 0.0000 7.6514" Properties=species:S:1:pos:R:3 pbc="T T T"
Ba 0.0000 0.0000 0.0000
Ba 0.0000 3.8257 3.8257
Ba 3.8257 0.0000 3.8257
Ba 3.8257 3.8257 0.0000
Li 1.9129 1.9129 5.7386
Li 1.9129 5.7386 1.9129
Li 5.7386 1.9129 1.9129
Li 5.7386 5.7386 5.7386
Eu 0.0000 0.0000 3.8257
Eu 0.0000 3.8257 0.0000
Eu 3.8257 0.0000 0.0000
Eu 3.8257 3.8257 3.8257
Pt 1.9129 1.9129 1.9129
Pt 1.9129 5.7386 5.7386
Pt 5.7386 1.9129 5.7386
Pt 5.7386 5.7386 1.9129
```

Summary:
SG: No. 216
calculated formation energy: -35.3 kJ/mol of atoms